The following is a DFT calculation (PBE) of a relaxed BaScCu crystal.

The space group is F-43m (No. 216) and the conventional cell measures 7.114, 7.114 and 7.114 Å, with angles of 90.00, 90.00 and 90.00 degrees. Symmetry generates all atoms from Ba at (0.000, 0.000, 0.000), Sc at (0.250, 0.250, 0.750) and Cu at (0.250, 0.250, 0.250).

The calculated volume is 30.00 Å³ per atom. The value obtained for the offset from the most stable computed form is 0.919 eV/atom. The total magnetization is 0.01 μB/f.u. The density of states at the Fermi level is 1.573 states/eV per atom. For the total energy, the calculation gives -37.29 eV/cell.

=====

The following is a DFT calculation (PBE) of a relaxed Te2PbSe crystal.

The space group is P2/m (No. 10) and the conventional cell measures 3.135, 6.278 and 6.000 Å, with angles of 90.00, 99.18 and 90.00 degrees. Symmetry generates all atoms from Te at (0.090, 0.000, 0.249), Pb at (0.000, 0.500, 0.500) and Se at (0.500, 0.500, 0.000).

The energy relative to the elements, uncorrected comes out at 0.110 eV per atom. The calculated volume is 29.14 Å³ per atom. The total magnetization is 0.00 μB/f.u. The density of states at the Fermi level is 0.719 states/eV per atom. For the total energy, the calculation gives -13.03 eV/cell.

=====

The following is a DFT calculation (PBE) of a relaxed NdHoH crystal.

The space group is P-3m1 (No. 164) and the conventional cell measures 3.6984, 3.6984 and 12.1198 Å, with angles of 90.00, 90.00 and 120.00 degrees. Symmetry generates all atoms from Nd at (0.3333, 0.6667, 0.1318), Ho at (0.3333, 0.6667, 0.6134) and H at (0.3333, 0.6667, 0.9407).

The calculated volume is 23.93 Å³ per atom. The value obtained for the offset from the most stable computed form is 0.000 eV/atom. The total magnetization is 0.23 μB/f.u. The density of states at the Fermi level is 0.960 states/eV per atom. For the total energy, the calculation gives -26.72 eV/cell.

=====

The following is a DFT calculation (PBE) of a relaxed NpTl2GeS5 crystal.

The space group is Cmc2_1 (No. 36) and the conventional cell measures 3.984, 18.371 and 14.062 Å, with angles of 90.00, 90.00 and 90.00 degrees. Symmetry generates all atoms from Np at (0.000, 0.200, 0.000), Tl at (0.000, 0.126, 0.634), Tl at (0.000, 0.130, 0.300), Ge at (0.000, 0.442, 0.384), S at (0.000, 0.045, 0.979), S at (0.000, 0.300, 0.622), S at (0.000, 0.319, 0.364), S at (0.000, 0.335, 0.977) and S at (0.000, 0.498, 0.753).

The energy relative to the elements, uncorrected comes out at -0.622 eV per atom. The calculated volume is 28.59 Å³ per atom. The total magnetization is 2.79 μB/f.u. The density of states at the Fermi level is 1.068 states/eV per atom. For the total energy, the calculation gives -194.10 eV/cell.

=====

The following is a DFT calculation (PBE) of a relaxed ZrAl2Pt crystal.

The space group is Cmmm (No. 65) and the conventional cell measures 5.654, 8.497 and 2.912 Å, with angles of 90.00, 90.00 and 90.00 degrees. Symmetry generates all atoms from Zr at (0.000, 0.000, 0.000), Al at (0.250, 0.250, 0.500) and Pt at (0.000, 0.500, 0.000).

The calculated volume is 17.49 Å³ per atom. The total magnetization is 0.00 μB/f.u. The density of states at the Fermi level is 0.601 states/eV per atom. For the total energy, the calculation gives -47.99 eV/cell.

=====

The following is a DFT calculation (PBE) of a relaxed LaPm4Pr2Sc crystal.

The space group is P4/mmm (No. 123) and the conventional cell measures 6.024, 6.024 and 7.425 Å, with angles of 90.00, 90.00 and 90.00 degrees. Symmetry generates all atoms from La at (0.000, 0.000, 0.000), Pm at (0.000, 0.500, 0.240), Pr at (0.000, 0.000, 0.500), Pr at (0.500, 0.500, 0.500) and Sc at (0.500, 0.500, 0.000).

The calculated volume is 33.68 Å³ per atom. The total magnetization is 0.00 μB/f.u. The density of states at the Fermi level is 2.167 states/eV per atom. For the total energy, the calculation gives -38.82 eV/cell.